Entry 1:
MnB2Ir2 after structural relaxation. Source: the Alexandria database, functional GGA-PBE.

Lattice parameters (Å, degrees): 6.2904 6.2904 2.6638 90.00 90.00 90.00
Closest atoms and distances in Å follow each position.
Fractional positions:
B (0.3525, 0.8525, 0.0000)  6 Ir 2.19-2.33, 2 Mn 2.40
B (0.8525, 0.6475, 0.0000)  6 Ir 2.19-2.33, 2 Mn 2.40
B (0.6475, 0.1475, 0.0000)  6 Ir 2.19-2.33, 2 Mn 2.40
B (0.1475, 0.3525, 0.0000)  6 Ir 2.19-2.33, 2 Mn 2.40
Ir (0.1572, 0.6572, 0.5000)  6 B 2.19-2.33
Ir (0.6572, 0.8428, 0.5000)  6 B 2.19-2.33
Ir (0.8428, 0.3428, 0.5000)  6 B 2.19-2.33
Ir (0.3428, 0.1572, 0.5000)  6 B 2.19-2.33
Mn (0.0000, 0.0000, 0.0000)  4 B 2.40, 2 Mn 2.66
Mn (0.5000, 0.5000, 0.0000)  4 B 2.40, 2 Mn 2.66

## Properties
* final energy: -8.007 eV/atom
* formation enthalpy at 0 K: 0.04 eV/atom


Entry 2:
TiPRuO2 after structural relaxation. Source: the Alexandria database, functional GGA-PBE.

Lattice parameters (Å, degrees): 3.7428 3.7428 5.1933 90.00 90.00 90.00
Closest atoms and distances in Å follow each position.
Fractional positions:
Ru (0.0000, 0.0000, 0.0000)  4 O 1.87
O (0.0000, 0.5000, 0.0000)  2 Ru 1.87
O (0.5000, 0.0000, 0.0000)  2 Ru 1.87
P (0.0000, 0.0000, 0.5000)  2 Ru 2.60, 4 Ti 2.65
Ti (0.5000, 0.5000, 0.5000)  4 P 2.65

## Properties
* formation energy from raw total energies: -0.4858 eV per atom
* distance to the lowest polymorph of the same formula: 0.369 eV per atom
* final energy: -6.985 eV/atom


Entry 3:
K2ZnN after structural relaxation. Source: the Alexandria database, functional GGA-PBE.

Lattice parameters (Å, degrees): 11.9320 11.9320 8.6359 46.30 46.30 90.00
Closest atoms and distances in Å follow each position.
Fractional positions:
Zn (0.0000, 0.0000, 0.0000)  2 N 1.84
Zn (0.7500, 0.2500, 0.5000)  2 N 1.84
K (0.4116, 0.1250, 0.2500)  2 N 3.05, 2 Zn 3.32
K (0.3384, 0.6250, 0.2500)  2 N 3.05, 2 Zn 3.32
K (0.3750, 0.5884, 0.7500)  2 N 3.05, 2 Zn 3.32
K (0.8750, 0.6616, 0.7500)  2 N 3.05, 2 Zn 3.32
N (0.5000, 0.5000, 0.0000)  2 Zn 1.84
N (0.2500, 0.7500, 0.5000)  2 Zn 1.84

## Properties
* formation energy from raw total energies: 0.1289 eV per atom
* distance to the lowest polymorph of the same formula: 0.000 eV per atom
* final energy: -2.820 eV/atom


Entry 4:
LiY2Fe after structural relaxation. Source: the Alexandria database, functional GGA-PBE.

Lattice parameters (Å, degrees): 3.4531 3.4534 7.5552 90.00 90.00 90.00
Closest atoms and distances in Å follow each position.
Fractional positions:
Fe (0.0000, 0.0000, 0.5445)  4 Li 2.68
Li (0.5000, 0.5000, 0.6919)  4 Fe 2.68, 1 Y 2.87
Y (0.0000, 0.0000, 0.9514)  1 Fe 3.07, 4 Li 3.13
Y (0.5000, 0.5000, 0.3121)  1 Li 2.87, 4 Fe 3.01

## Properties
* final energy: -5.574 eV/atom
* formation enthalpy at 0 K: 0.25 eV/atom


no.,calculated density (kg/m3)
1,14525
2,4837
3,1996
4,4434